A geometry-optimized Ag2MoPbF8 structure. Source: Alexandria via LeMat-Bulk, functional GGA+U.

It has space group P-1 (No. 2), with a = 4.458 Å, b = 5.768 Å, c = 7.727 Å, α = 90.52°, β = 90.20° and γ = 94.50°. The asymmetric unit holds Ag at (0.007, 0.012, 0.245), Mo at (0.500, 0.500, 0.500), Pb at (0.500, 0.500, 0.000), F at (0.020, 0.258, 0.988), F at (0.129, 0.288, 0.493), F at (0.379, 0.700, 0.306) and F at (0.391, 0.704, 0.708).

The size of the total moment is 1.952 μB per formula unit. As for the density: 5.62 g cm⁻³. For the total energy, the calculation gives -4.585 eV per atom.